# Zr4SiPt (PBE, relaxed)
# **Offset from the most stable computed form**: 0.952 eV/atom
# **VASP energy**: -7.40 eV/atom
# **Raw formation energy**: 4.81 kcal/mol of atoms
data_Zr4SiPt
_chemical_formula_sum 'Zr16 Si4 Pt4'
_cell_length_a 7.862
_cell_length_b 7.862
_cell_length_c 7.862
_cell_angle_alpha 90.00
_cell_angle_beta 90.00
_cell_angle_gamma 90.00
_space_group_name_H-M_alt 'F -4 3 m'
_space_group_IT_number 216
_space_group_name_Hall 'F -4 2 3'
loop_
_atom_site_label
_atom_site_type_symbol
_atom_site_fract_x
_atom_site_fract_y
_atom_site_fract_z
Zr1 Zr 0.125 0.125 0.125
Si1 Si 0.000 0.000 0.500
Pt1 Pt 0.250 0.250 0.750